VASP calculation (PBE-GGA) on crystalline ScSb3 at its relaxed geometry.

Magnetization: 0.00 μB per cell
Formation energy without anion corrections: -0.21 eV/atom
Offset from the most stable computed form: 0.63 eV per formula unit
Electronic total energy: -19.53 eV per formula unit
N(E_F): 0.655 states/eV per atom
Space-group type: No. 123
Mass density: 6.7 Mg/m³

```
ScSb3
1.0
5.175 0.000 0.000
0.000 5.175 0.000
0.000 0.000 3.819
Sc Sb
1 3
direct
0.000 0.500 0.500
0.500 0.500 0.000
0.500 0.000 0.500
0.000 0.000 0.000
```